(1)
Computed, not measured: an optimized crystal structure of Tl4Au at the PBE level of DFT.

Calculated values
Its mass density is 12.13 Mg/m³. For the energy above the lowest structure with this stoichiometry, the calculation gives 36 kJ/mol of formula units. For the energy of formation, the calculation gives 0.0459 eV per atom. Its density of states at the Fermi level is 3.9 states/eV per cell. The size of the total moment is 0.00 Bohr magnetons per cell.

a b c (Å): 7.547 7.547 4.878
angles (deg): 90.00 90.00 90.00
Space group I4/m (No. 87)
One atom of each set of equivalent atoms:
Tl (0.110, 0.295, 0.000) [8 per cell]
Au (0.000, 0.000, 0.500) [2 per cell]

---

(2)
Computed, not measured: an optimized crystal structure of Tl2Au at the PBE level of DFT.

Calculated values
Its mass density is 12.18 Mg/m³. For the energy of formation, the calculation gives -0.0117 eV per atom. Its density of states at the Fermi level is 4.9 states/eV per cell. The size of the total moment is 0.00 Bohr magnetons per cell.

a b c (Å): 7.753 7.753 5.497
angles (deg): 90.00 90.00 90.00
Space group I4/mcm (No. 140)
One atom of each set of equivalent atoms:
Tl (0.151, 0.349, 0.000) [8 per cell]
Au (0.000, 0.000, 0.000) [4 per cell]

---

(3)
Computed, not measured: an optimized crystal structure of Tl2Au3 at the PBE level of DFT.

Calculated values
Its mass density is 13.82 Mg/m³. For the energy of formation, the calculation gives -0.0140 eV per atom. Its density of states at the Fermi level is 13.5 states/eV per cell. The size of the total moment is 0.00 Bohr magnetons per cell.

a b c (Å): 9.160 17.297 6.064
angles (deg): 90.00 90.00 90.00
Space group Fdd2 (No. 43)
One atom of each set of equivalent atoms:
Tl (0.079, 0.202, 0.000) [16 per cell]
Au (0.000, 0.000, 0.177) [8 per cell]
Au (0.039, 0.132, 0.469) [16 per cell]

---

(4)
Computed, not measured: an optimized crystal structure of TlAu5 at the PBE level of DFT.

Calculated values
Its mass density is 16.75 Mg/m³. For the energy above the lowest structure with this stoichiometry, the calculation gives 3 kJ/mol of formula units. For the energy of formation, the calculation gives 0.0599 eV per atom. Its density of states at the Fermi level is 2.8 states/eV per cell. The size of the total moment is 0.00 Bohr magnetons per cell.

a b c (Å): 10.865 3.121 7.538
angles (deg): 90.00 112.67 90.00
Space group Cm (No. 8)
One atom of each set of equivalent atoms:
Tl (0.000, 0.000, 0.000) [2 per cell]
Au (0.009, 0.000, 0.588) [2 per cell]
Au (0.113, 0.500, 0.354) [2 per cell]
Au (0.211, 0.500, 0.905) [2 per cell]
Au (0.305, 0.000, 0.654) [2 per cell]
Au (0.320, 0.000, 0.262) [2 per cell]

---

(5)
Computed, not measured: an optimized crystal structure of Tl6Au5 at the PBE level of DFT.

Calculated values
Its mass density is 12.95 Mg/m³. For the energy of formation, the calculation gives 0.0257 eV per atom. Its density of states at the Fermi level is 6.3 states/eV per cell. The size of the total moment is 0.00 Bohr magnetons per cell.

a b c (Å): 8.972 14.795 5.161
angles (deg): 90.00 124.15 90.00
Space group C2/m (No. 12)
One atom of each set of equivalent atoms:
Tl (0.245, 0.163, 0.244) [8 per cell]
Tl (0.248, 0.000, 0.752) [4 per cell]
Au (0.000, 0.171, 0.500) [4 per cell]
Au (0.000, 0.331, 0.000) [4 per cell]
Au (0.000, 0.500, 0.500) [2 per cell]

---

(6)
Computed, not measured: an optimized crystal structure of Tl3Au at the PBE level of DFT.

Calculated values
Its mass density is 11.89 Mg/m³. For the energy above the lowest structure with this stoichiometry, the calculation gives 5 kJ/mol of formula units. For the energy of formation, the calculation gives -0.0169 eV per atom. Its density of states at the Fermi level is 5.9 states/eV per cell. The size of the total moment is 0.00 Bohr magnetons per cell.

a b c (Å): 7.047 9.763 6.580
angles (deg): 90.00 90.00 90.00
Space group Pnma (No. 62)
One atom of each set of equivalent atoms:
Tl (0.013, 0.250, 0.106) [4 per cell]
Tl (0.209, 0.046, 0.661) [8 per cell]
Au (0.083, 0.750, 0.452) [4 per cell]